No. 1
4
Lattice="5.1699 0.0000 0.0000 2.5850 4.4773 0.0000 2.5850 1.4924 4.2212" Properties=species:S:1:pos:R:3 comment="HgGeTe2 (PBEsol, relaxed)" e_above_lowest_polymorph_mev_per_atom=0.0 pbc="T T T"
Te 2.5850 1.4924 1.0553
Te 7.7549 4.4773 3.1659
Hg 5.1699 2.9849 2.1106
Ge 0.0000 0.0000 0.0000



No. 2
4
Lattice="-1.7180 2.3487 -3.1550 -1.8877 -1.9363 -3.3331 -8.5831 0.2590 1.9471" Properties=species:S:1:pos:R:3 comment="HgGeTe2 (PBEsol, relaxed)" e_above_lowest_polymorph_mev_per_atom=251.1 pbc="T T T"
Te -5.8598 0.4496 -5.2329
Te -6.3289 0.2219 0.6920
Hg -6.0944 0.3357 -2.2705
Ge 0.0000 0.0000 0.0000



No. 3
5
Lattice="-0.5723 4.9692 0.6698 -3.7994 0.0101 -3.3216 -3.2720 -0.8809 3.7399" Properties=species:S:1:pos:R:3 comment="TiHgGe3 (PBEsol, relaxed)" e_form_ev_per_fu=5.74 pbc="T T T"
Ge -1.8997 0.0051 -1.6608
Ge -0.2861 2.4846 0.3349
Ge -1.6360 -0.4405 1.8700
Ti -3.8218 2.0492 0.5440
Hg 0.0000 0.0000 0.0000



No. 4
5
Lattice="-1.5826 -3.8542 -2.5468 3.1268 1.0880 -3.5896 3.4007 -2.7941 2.1153" Properties=species:S:1:pos:R:3 comment="HgGe3W (PBEsol, relaxed)" e_form_ev_per_fu=1.84 pbc="T T T"
Ge 1.5634 0.5440 -1.7948
Ge 1.7003 -1.3971 1.0577
Ge -0.7913 -1.9271 -1.2734
W 0.0000 0.0000 0.0000
Hg 2.4724 -2.7802 -2.0106



No. 5
5
Lattice="-2.7315 -2.3962 0.5433 2.1592 -1.9534 2.2407 -2.0008 6.0468 4.1874" Properties=species:S:1:pos:R:3 comment="Zn2Hg2Ge (PBEsol, relaxed)" e_form_ev_per_fu=1.00 pbc="T T T"
Ge 0.0000 0.0000 0.0000
Zn -0.0639 0.9594 3.9100
Zn -2.5093 0.7379 3.0614
Hg -0.7661 -1.3622 2.5629
Hg -1.8070 3.0594 4.4085



No. 6
5
Lattice="-4.0771 -1.4737 2.0463 1.7052 -4.4771 0.1733 1.8577 0.8753 4.3318" Properties=species:S:1:pos:R:3 comment="ZnHgGe3 (PBEsol, relaxed)" e_form_ev_per_fu=2.79 pbc="T T T"
Zn 0.0000 0.0000 0.0000
Ge 0.9289 0.4376 2.1659
Ge 0.8526 -2.2385 0.0867
Ge -2.0386 -0.7368 1.0231
Hg -0.2571 -2.5378 3.2757



No. 7
5
Lattice="-2.7090 0.0768 -2.3566 2.2621 -0.9280 -2.6306 -1.2109 -7.0540 3.8988" Properties=species:S:1:pos:R:3 comment="Zr2HgGe2 (PBEsol, relaxed)" e_form_ev_per_fu=-1.67 pbc="T T T"
Hg 0.0000 0.0000 0.0000
Zr -0.5355 -2.0527 -2.1879
Zr -1.1223 -5.8525 1.0995
Ge 0.4138 -4.2038 -0.6127
Ge -2.0717 -3.7015 -0.4757



No. 8
36
Lattice="-4.2682 -5.7821 2.1232 2.6276 0.6612 7.0830 -10.7350 9.0755 3.1352" Properties=species:S:1:pos:R:3 comment="Ho5Ge4 (PBEsol, relaxed)" e_form_ev_per_fu=-8.13 pbc="T T T"
Ho -12.9878 2.7263 7.1770
Ho -4.5754 -3.8766 3.3713
Ho -3.5721 1.0615 1.2369
Ho -7.5676 2.4296 7.9524
Ho -8.0131 2.8016 4.1576
Ho -9.7696 0.0056 6.2371
Ho -7.9761 5.4553 6.5203
Ho -7.8001 7.8312 8.9701
Ho -2.6059 3.9490 6.1043
Ho -11.2314 5.5223 5.0975
Ho -1.1441 -1.5678 7.2439
Ho -4.8079 1.5249 4.3890
Ho -4.3624 1.1530 8.1838
Ho -4.9689 5.4376 8.1432
Ho 0.6123 1.2283 5.1644
Ho -10.3988 4.8232 8.7793
Ho -8.8034 2.8931 11.1045
Ho -4.3994 -1.5007 5.8211
Ho -7.4066 -1.4831 4.1982
Ho -1.9767 -0.8686 3.5621
Ge -6.7331 0.3177 6.2445
Ge -2.0054 2.0761 3.6646
Ge -7.5341 4.9462 9.5075
Ge -9.9680 3.1608 6.3415
Ge -1.2909 -0.8280 0.8397
Ge -2.2947 -3.4346 4.9482
Ge -3.9533 -1.9493 8.6470
Ge -8.4222 5.9039 3.6944
Ge -5.6424 3.6369 6.0969
Ge -4.8414 -0.9916 2.8340
Ge -6.6462 1.0303 10.2055
Ge -5.7293 2.9243 2.1359
Ge -10.3701 1.8785 8.6768
Ge -2.4075 0.7937 5.9999
Ge -11.0846 4.7825 11.5017
Ge -10.0808 7.3891 7.3932



No. 9
14
Lattice="3.9776 0.0000 0.0000 -1.9888 5.2563 0.0000 0.0000 0.0000 14.0295" Properties=species:S:1:pos:R:3 comment="Ho3Ge4 (PBEsol, relaxed)" e_form_ev_per_fu=-5.94 pbc="T T T"
Ge 0.0000 4.0129 1.5178
Ge 0.0000 2.3895 3.5074
Ge 1.9888 1.2434 12.5117
Ge 0.0000 0.0000 0.0000
Ge 1.9888 2.8668 10.5221
Ge 0.0000 0.0000 7.0147
Ge 1.9888 1.2434 8.5325
Ge 0.0000 4.0129 5.4970
Ho 1.9888 1.7970 5.6521
Ho 0.0000 3.4593 12.6668
Ho 1.9888 1.7970 1.3626
Ho 1.9888 4.7998 3.5074
Ho 0.0000 3.4593 8.3774
Ho 0.0000 0.4565 10.5221



No. 10
16
Lattice="-1.7901 3.6898 -4.7352 -3.0208 -6.6525 -4.0418 -4.9063 4.3035 5.2081" Properties=species:S:1:pos:R:3 comment="Ho5Ge3 (PBEsol, relaxed)" e_form_ev_per_fu=-6.74 pbc="T T T"
Ho -5.0645 6.0320 0.3994
Ho -3.6493 -3.0005 -0.9585
Ho -1.1767 -0.6835 -2.1595
Ho -3.6341 -2.2792 -6.6175
Ho -5.1728 2.4964 -0.2428
Ho -3.2562 2.2003 -3.2699
Ho -6.4610 -0.8595 -0.2991
Ho -4.5443 -1.1556 -3.3261
Ho -4.2778 0.6515 2.1248
Ho -1.6319 1.9613 0.0734
Ge -2.2767 -3.1058 -3.6312
Ge -3.4184 3.5283 1.9698
Ge -3.5746 -0.0042 -0.7237
Ge -3.2780 4.4650 -1.4969
Ge -2.5342 0.1431 -5.1458
Ge -6.1426 1.3450 -2.8452



No. 11
16
Lattice="-1.1937 -5.5133 0.3831 2.5313 -3.0178 6.1804 -7.9168 -0.9005 4.0959" Properties=species:S:1:pos:R:3 comment="Ho3Ge5 (PBEsol, relaxed)" e_form_ev_per_fu=-6.16 pbc="T T T"
Ho 0.3602 -5.6431 3.3582
Ho -1.4372 -3.4672 8.2090
Ho -4.5225 -4.3266 5.8529
Ho -1.5728 -2.3389 4.3989
Ho 0.3678 -6.9270 7.0023
Ho -4.5286 -5.5131 9.6215
Ge -4.5195 -1.5938 4.7527
Ge -4.1600 -6.9390 7.1417
Ge 0.4075 -4.0244 5.8903
Ge -2.5738 -4.9884 3.5884
Ge -0.7208 -1.5326 1.7640
Ge -7.1979 -4.9807 4.9968
Ge 1.2608 -2.9118 3.7481
Ge -4.2617 -3.2314 2.8016
Ge -5.5664 -8.3324 8.8227
Ge -1.8243 -5.3488 5.9910



No. 12
4
Lattice="3.8818 0.0000 0.0000 0.0000 4.2050 0.0000 0.0000 2.1025 5.2660" Properties=species:S:1:pos:R:3 comment="HoGe (PBEsol, relaxed)" e_form_ev_per_fu=-1.87 pbc="T T T"
Ge 2.9113 2.1025 0.8972
Ge 0.9704 4.2050 4.3687
Ho 0.9704 4.2050 1.4593
Ho 2.9113 2.1025 3.8066



No. 13
42
Lattice="-0.1662 5.0967 10.0654 -1.7912 -11.1178 -0.7085 9.7546 -1.1894 -5.5452" Properties=species:S:1:pos:R:3 comment="Ho11In6Ge4 (PBEsol, relaxed)" e_form_ev_per_fu=-14.84 pbc="T T T"
Ho 4.1187 0.1053 0.9294
Ho 2.0126 -5.3695 0.3722
Ho -0.0592 0.2551 6.9722
Ho 0.1291 -3.3254 2.6007
Ho 2.9013 -4.3203 4.6473
Ho 1.3330 -2.0602 -1.0468
Ho 0.7166 -8.5227 1.4860
Ho 4.9732 -9.9449 -1.9527
Ho 7.0806 1.3123 2.3257
Ho 2.8240 2.7344 5.7644
Ho 3.6785 -7.3157 2.8823
Ho 2.0416 -7.8220 -2.3141
Ho 7.6681 -3.8850 1.2110
Ho 5.7846 -1.8410 3.4394
Ho -0.4755 -5.1854 5.4910
Ho 4.8958 -2.8901 -0.8356
Ho 8.2727 -2.0251 -1.6794
Ho 2.5332 -0.7017 4.6066
Ho 5.9218 -4.4852 -3.9396
Ho 7.8564 -7.4656 -3.1605
Ho 5.2640 -6.5088 -0.7950
Ho 6.6304 -10.2470 -5.2069
Ge 6.7850 -1.1231 0.6966
Ge 4.9256 -7.6123 -3.8681
Ge 7.3101 -4.7972 -1.5578
Ge 3.0378 -4.6949 -2.3856
Ge 3.3022 -8.2437 0.1212
Ge 0.4871 -2.4132 5.3694
Ge 4.4949 1.0332 3.6905
Ge 1.0122 -6.0873 3.1150
In 0.9829 -0.2723 1.7874
In 8.2674 -2.4682 -4.9222
In 6.8143 -6.9382 2.0243
In 2.9358 -2.5390 1.7962
In 7.5825 -8.8768 -0.1214
In 8.7318 -5.3416 -5.6152
In -0.3040 -9.8390 -1.3315
In 1.9527 -11.1710 -2.7754
In 6.0107 -1.1362 -3.4783
In 0.2147 1.6663 3.9330
In -0.7683 -6.9656 -0.6385
In 4.8614 -4.6715 2.0155



No. 14
22
Lattice="5.6220 0.0164 0.0200 -1.5041 5.4171 0.0200 -1.2004 -1.5838 9.6103" Properties=species:S:1:pos:R:3 comment="HoInGe2O7 (PBEsol, relaxed)" energy_ha_per_atom=-0.2614 pbc="T T T"
O 1.8409 4.8689 1.4049
O 1.4442 2.0515 1.1081
O 0.8438 1.2600 5.9133
O 3.4309 2.1651 6.2314
O -1.2723 0.7611 8.2454
O -1.1434 5.1438 0.0200
O 1.9327 2.6967 3.7370
O 1.2401 4.0762 6.2109
O -1.7463 4.3539 4.8251
O 1.3330 1.9047 8.5422
O -0.6715 1.5538 3.4394
O 1.7607 -0.0387 3.4188
O 1.1603 -0.8303 8.2231
O 4.0307 2.9571 1.4272
Ge -0.2030 -0.2625 9.1881
Ge 2.5145 3.3242 5.2674
Ge 0.3969 0.5302 4.3829
Ge 3.1154 4.1161 0.4621
Ho 0.3027 3.4249 2.4220
Ho -0.2979 2.6324 7.2283
In 3.0779 1.3211 2.4229
In 2.4777 0.5293 7.2274



No. 15
17
Lattice="7.1684 0.0000 0.0000 -2.3895 6.7585 0.0000 -2.3895 -3.3792 5.8530" Properties=species:S:1:pos:R:3 comment="Ho4Ge6Ir7 (PBEsol, relaxed)" e_form_ev_per_fu=-15.59 pbc="T T T"
Ho -1.1947 -1.6896 2.9265
Ho 1.1947 1.6896 2.9265
Ho -1.1947 3.3792 0.0000
Ho 3.5842 0.0000 0.0000
Ir 0.0000 0.0000 0.0000
Ir 3.5842 0.0000 2.9265
Ir 3.5842 2.5344 1.4633
Ir -1.1947 0.8448 4.3898
Ir 1.1947 4.2240 1.4633
Ir 1.1947 -0.8448 4.3898
Ir -1.1947 3.3792 2.9265
Ge 3.2658 -2.3093 3.9998
Ge -1.5132 1.0700 1.8533
Ge 3.2658 4.6185 0.0000
Ge 1.5132 2.1400 0.0000
Ge -3.2658 2.3093 3.9998
Ge 1.5132 -1.0700 1.8533



No. 16
16
Lattice="4.2159 0.0000 0.0000 0.0000 8.7889 0.0000 -2.1080 -4.3945 7.9453" Properties=species:S:1:pos:R:3 comment="HoGe2Ir (PBEsol, relaxed)" e_form_ev_per_fu=-3.37 pbc="T T T"
Ge 2.1080 4.3945 1.2181
Ge 2.1080 0.0000 1.2408
Ge 0.0000 1.3395 3.1945
Ge 2.1080 5.7339 4.7508
Ge 2.1080 3.0550 4.7508
Ge 0.0000 0.0000 6.7272
Ge 0.0000 4.3945 6.7045
Ge 0.0000 -1.3395 3.1945
Ho 2.1080 0.0000 4.6840
Ho 0.0000 6.4863 0.0000
Ho 0.0000 4.3945 3.2613
Ho 0.0000 2.3027 0.0000
Ir 2.1080 6.5929 2.3048
Ir 0.0000 -2.1984 5.6405
Ir 0.0000 2.1984 5.6405
Ir 2.1080 2.1961 2.3048



No. 17
5
Lattice="3.8652 0.0000 0.0000 0.0000 3.8652 0.0000 -1.9326 -1.9326 5.3099" Properties=species:S:1:pos:R:3 comment="HoMn2Ge2 (PBEsol, relaxed)" e_form_ev_per_fu=-2.42 pbc="T T T"
Ge 0.0000 0.0000 4.0478
Ge 1.9326 1.9326 1.2621
Ho 0.0000 0.0000 0.0000
Mn 0.0000 1.9326 2.6549
Mn 1.9326 0.0000 2.6549



No. 18
36
Lattice="-6.5116 -1.6370 -1.6746 2.2897 -2.9221 -6.0469 1.3662 -11.7935 6.2164" Properties=species:S:1:pos:R:3 comment="Ho2Nb3Ge4 (PBEsol, relaxed)" e_form_ev_per_fu=-7.36 pbc="T T T"
Ge 0.3265 -5.9623 -4.1604
Ge -3.1821 -10.3904 2.6553
Ge -2.3019 -4.9439 -1.6507
Ge -3.6797 -6.6242 1.4909
Ge -0.0233 -2.1241 -2.8286
Ge -4.2497 -1.7040 -1.1026
Ge -0.5537 -11.4088 0.1457
Ge 0.5466 -7.0444 -0.2350
Ge 0.8241 -9.7284 -2.9960
Ge 0.5801 -10.2181 2.1552
Ge -3.2118 -12.9900 -2.2701
Ge -2.8323 -14.2286 1.3235
Ge 1.3941 -14.6487 -0.4025
Ge -3.4357 -6.1345 -3.6603
Ge -3.4023 -9.3083 -1.2700
Ge 0.3562 -3.3626 0.7650
Ho -1.6033 -3.9116 -4.3275
Ho -5.2807 -9.1557 0.9773
Ho -1.2523 -12.4411 2.8224
Ho 2.0011 -3.5380 -4.4110
Ho 2.4250 -7.1970 -2.4824
Ho -1.1795 -7.5705 -2.3988
Ho -1.6762 -8.7821 0.8937
Ho -4.8568 -12.8146 2.9059
Nb -3.9604 -4.0706 0.3705
Nb -4.2103 -6.7399 -1.0741
Nb -4.5474 -3.8298 -2.6080
Nb -1.2036 -13.8014 -0.6862
Nb 0.3869 -4.6451 -1.6748
Nb -1.3149 -5.4614 0.7150
Nb 1.6918 -12.5229 1.1029
Nb -1.5407 -10.8913 -2.2201
Nb 1.3547 -9.6128 -0.4310
Nb -1.6520 -2.5513 -0.8189
Nb -3.2425 -11.7075 0.1697
Nb 1.1048 -12.2820 -1.8756



No. 19
12
Lattice="4.1640 0.0000 0.0000 0.0000 6.7811 0.0000 0.0000 0.0000 7.1502" Properties=species:S:1:pos:R:3 comment="HoNiGe (PBEsol, relaxed)" e_form_ev_per_fu=-2.58 pbc="T T T"
Ge 3.1230 4.7111 2.9403
Ge 1.0410 2.0700 4.2099
Ge 3.1230 1.3206 0.6348
Ge 1.0410 5.4605 6.5154
Ho 1.0410 6.7226 2.1114
Ho 1.0410 3.3320 1.4637
Ho 3.1230 3.4490 5.6865
Ho 3.1230 0.0585 5.0388
Ni 1.0410 1.3008 6.5618
Ni 1.0410 4.6913 4.1636
Ni 3.1230 5.4802 0.5885
Ni 3.1230 2.0897 2.9866